This record from OQMD describes an optimized crystal structure of Si5Au4. The functional is PBE.

a b c (Å): 5.656 5.656 6.152
angles (deg): 90.00 90.00 120.00
Element x y z (fractional)
1 Si 0.333 0.667 0.186
2 Si 0.000 0.000 0.500
3 Si 0.333 0.667 0.814
4 Si 0.667 0.333 0.186
5 Si 0.667 0.333 0.814
6 Au 0.500 0.500 0.500
7 Au 0.500 0.000 0.500
8 Au 0.000 0.000 0.000
9 Au 0.000 0.500 0.500

## Properties
Energy = -3.8984 eV/atom

***

This record from OQMD describes an optimized crystal structure of Pm3ScCd2. The functional is PBE.

a b c (Å): 3.832 3.832 13.686
angles (deg): 90.00 90.00 120.00
Element x y z (fractional)
1 Pm 0.333 0.667 0.329
2 Pm 0.667 0.333 0.671
3 Pm 0.000 0.000 0.000
4 Sc 0.000 0.000 0.500
5 Cd 0.667 0.333 0.165
6 Cd 0.333 0.667 0.835

## Properties
Energy of formation from the pure elements = 49 meV per atom

***

This record from OQMD describes an optimized crystal structure of FeSnW4C2. The functional is PBE.

a b c (Å): 3.091 3.091 13.417
angles (deg): 90.00 90.00 120.00
Element x y z (fractional)
1 Sn 0.667 0.333 0.500
2 W 0.000 0.000 0.678
3 W 0.667 0.333 0.149
4 W 0.667 0.333 0.851
5 W 0.000 0.000 0.322
6 C 0.333 0.667 0.763
7 C 0.333 0.667 0.237
8 Fe 0.000 0.000 0.000

## Properties
Energy = -10.0396 eV/atom

***

This record from OQMD describes an optimized crystal structure of BaBiAu2. The functional is PBE.

a b c (Å): 5.373 5.373 5.373
angles (deg): 60.00 60.00 60.00
Element x y z (fractional)
1 Bi 0.500 0.500 0.500
2 Au 0.000 0.000 0.000
3 Au 0.750 0.750 0.750
4 Ba 0.250 0.250 0.250

## Properties
Energy = -3.3818 eV/atom

***

This record from OQMD describes an optimized crystal structure of ReN2. The functional is PBE.

a b c (Å): 2.876 2.876 3.953
angles (deg): 90.00 90.00 120.00
Element x y z (fractional)
1 N 0.333 0.667 0.171
2 N 0.333 0.667 0.829
3 Re 0.000 0.000 0.500

## Properties
Energy = -9.2979 eV/atom

***

This record from OQMD describes an optimized crystal structure of KPrOsSe4. The functional is PBE.

a b c (Å): 6.856 6.892 9.248
angles (deg): 90.00 110.74 90.00
Element x y z (fractional)
1 Se 0.513 0.756 0.721
2 Se 0.485 0.240 0.719
3 Se 0.974 0.641 0.593
4 Se 0.085 0.058 0.844
5 Se 0.487 0.256 0.279
6 Se 0.515 0.740 0.281
7 Se 0.915 0.558 0.156
8 Se 0.026 0.141 0.407
9 K 0.268 0.515 0.949
10 K 0.732 0.015 0.051
11 Pr 0.288 0.507 0.451
12 Pr 0.712 0.007 0.549
13 Os 0.775 0.479 0.350
14 Os 0.225 0.979 0.650

## Properties
Energy = -5.2782 eV/atom

***

This record from OQMD describes an optimized crystal structure of TbGaAsO. The functional is PBE.

a b c (Å): 4.057 4.057 9.149
angles (deg): 90.00 90.00 90.00
Element x y z (fractional)
1 Ga 0.000 0.000 0.500
2 Ga 0.500 0.500 0.500
3 O 0.000 0.000 0.000
4 O 0.500 0.500 0.000
5 As 0.000 0.500 0.313
6 As 0.500 0.000 0.687
7 Tb 0.500 0.000 0.114
8 Tb 0.000 0.500 0.886

## Properties
Offset from the most stable computed form = 0.00 eV per formula unit

***

This record from OQMD describes an optimized crystal structure of NaLaHgSe3. The functional is PBE.

a b c (Å): 7.215 7.215 11.520
angles (deg): 90.00 90.00 34.83
Element x y z (fractional)
1 Se 0.644 0.644 0.563
2 Se 0.090 0.090 0.250
3 Se 0.910 0.910 0.750
4 Se 0.644 0.644 0.937
5 Se 0.356 0.356 0.063
6 Se 0.356 0.356 0.437
7 Hg 0.466 0.466 0.250
8 Hg 0.534 0.534 0.750
9 Na 0.242 0.242 0.750
10 Na 0.758 0.758 0.250
11 La 0.000 0.000 0.000
12 La 0.000 0.000 0.500

## Properties
Offset from the most stable computed form = 0.00 eV per formula unit